Na3TmSc2O6 | Alexandria | PBE | optimized geometry; E_form (uncorrected) = -2.85 eV/atom; size of the total moment = 0.00 Bohr magnetons per cell; electronic total energy = -7.08 eV per atom
1.0
2.810 -4.869 0.000
2.810 4.869 0.000
-1.870 0.000 5.508
Na Tm Sc O
3 1 2 6
direct
0.000 0.000 0.000
0.330 0.670 0.000
0.670 0.330 0.000
0.500 0.500 0.500
0.167 0.833 0.500
0.833 0.167 0.500
0.088 0.432 0.296
0.224 0.224 0.706
0.432 0.088 0.296
0.568 0.912 0.704
0.776 0.776 0.294
0.912 0.568 0.704